(1)
DFT (PBE) results for an optimized crystal structure of Y5Ho4Th.

Cell lengths 6.279, 6.727, 8.455 Å; angles 77.46, 68.23, 89.99 degrees
Fractional positions:
Y 0.000 0.000 0.000
Y 0.028 0.902 0.597
Y 0.240 0.305 0.197
Y 0.434 0.699 0.801
Y 0.795 0.592 0.401
Ho 0.200 0.398 0.602
Ho 0.400 0.806 0.197
Ho 0.632 0.093 0.404
Ho 0.826 0.497 0.000
Th 0.597 0.200 0.798

## Properties
ρ   6.88 g/cm3
M_tot   0.00 μB/f.u.
E_form   1.6 kJ per mole of atoms
Energy relative to the lowest polymorph listed for this composition   0.000 eV/atom
E_tot   -57.88 eV for the cell shown

---

(2)
DFT (PBE) results for an optimized crystal structure of Y6Ho2Th.

Cell lengths 7.757, 7.757, 7.757 Å; angles 57.07, 57.07, 57.07 degrees
Fractional positions:
Y 0.172 0.172 0.656
Y 0.172 0.656 0.172
Y 0.391 0.391 0.821
Y 0.391 0.821 0.391
Y 0.656 0.172 0.172
Y 0.821 0.391 0.391
Ho 0.682 0.682 0.682
Ho 0.856 0.856 0.856
Th 0.119 0.119 0.119

## Properties
ρ   5.91 g/cm3
M_tot   0.00 μB/f.u.
E_form   39.8 kJ per mole of atoms
Energy relative to the lowest polymorph listed for this composition   0.256 eV/atom
E_tot   -51.65 eV for the cell shown

---

(3)
DFT (PBE) results for an optimized crystal structure of Y5Ho12Th2.

Cell lengths 9.105, 9.105, 8.502 Å; angles 91.48, 91.48, 61.52 degrees
Fractional positions:
Y 0.000 0.000 0.000
Y 0.233 0.233 0.074
Y 0.302 0.302 0.485
Y 0.698 0.698 0.515
Y 0.767 0.767 0.926
Ho 0.028 0.668 0.257
Ho 0.085 0.085 0.383
Ho 0.179 0.565 0.839
Ho 0.332 0.972 0.743
Ho 0.435 0.821 0.161
Ho 0.444 0.444 0.172
Ho 0.556 0.556 0.828
Ho 0.565 0.179 0.839
Ho 0.668 0.028 0.257
Ho 0.821 0.435 0.161
Ho 0.915 0.915 0.617
Ho 0.972 0.332 0.743
Th 0.322 0.678 0.500
Th 0.678 0.322 0.500

## Properties
ρ   7.74 g/cm3
M_tot   0.00 μB/f.u.
E_form   14.2 kJ per mole of atoms
Energy relative to the lowest polymorph listed for this composition   0.027 eV/atom
E_tot   -99.30 eV for the cell shown

---

(4)
DFT (PBE) results for an optimized crystal structure of YHo6Th.

Cell lengths 5.019, 5.019, 9.952 Å; angles 90.00, 90.00, 90.00 degrees
Fractional positions:
Y 0.000 0.000 0.000
Ho 0.000 0.500 0.253
Ho 0.000 0.500 0.747
Ho 0.500 0.000 0.253
Ho 0.500 0.000 0.747
Ho 0.500 0.500 0.000
Ho 0.500 0.500 0.500
Th 0.000 0.000 0.500

## Properties
ρ   8.68 g/cm3
M_tot   0.00 μB/f.u.
E_form   3.1 kJ per mole of atoms
Energy relative to the lowest polymorph listed for this composition   0.000 eV/atom
E_tot   -41.09 eV for the cell shown

---

(5)
DFT (PBE) results for an optimized crystal structure of YHo2Th.

Cell lengths 13.025, 3.596, 12.462 Å; angles 90.00, 118.41, 90.00 degrees
Fractional positions:
Y 0.126 0.000 0.480
Y 0.374 0.500 0.520
Y 0.626 0.500 0.480
Y 0.874 0.000 0.520
Ho 0.122 0.500 0.732
Ho 0.128 0.500 0.227
Ho 0.372 0.000 0.773
Ho 0.378 0.000 0.268
Ho 0.622 0.000 0.732
Ho 0.628 0.000 0.227
Ho 0.872 0.500 0.773
Ho 0.878 0.500 0.268
Th 0.124 0.000 0.975
Th 0.376 0.500 0.025
Th 0.624 0.500 0.975
Th 0.876 0.000 0.025

## Properties
ρ   8.42 g/cm3
M_tot   0.00 μB/f.u.
E_form   2.5 kJ per mole of atoms
Energy relative to the lowest polymorph listed for this composition   0.023 eV/atom
E_tot   -91.75 eV for the cell shown

---

(6)
DFT (PBE) results for an optimized crystal structure of YHo6Th4.

Cell lengths 8.503, 8.503, 8.503 Å; angles 125.03, 125.03, 81.48 degrees
Fractional positions:
Y 0.000 0.000 0.000
Ho 0.000 0.500 0.500
Ho 0.074 0.561 0.000
Ho 0.439 0.439 0.513
Ho 0.500 0.000 0.500
Ho 0.561 0.074 0.000
Ho 0.926 0.926 0.487
Th 0.258 0.258 0.664
Th 0.406 0.742 0.000
Th 0.594 0.594 0.336
Th 0.742 0.406 0.000

## Properties
ρ   8.40 g/cm3
M_tot   0.00 μB/f.u.
E_form   48.5 kJ per mole of atoms
Energy relative to the lowest polymorph listed for this composition   0.342 eV/atom
E_tot   -58.08 eV for the cell shown

---

(7)
DFT (PBE) results for an optimized crystal structure of Y3Ho6Th2.

Cell lengths 6.110, 6.110, 11.561 Å; angles 95.12, 95.12, 120.08 degrees
Fractional positions:
Y 0.000 0.000 0.000
Y 0.335 0.665 0.000
Y 0.665 0.335 0.000
Ho 0.084 0.418 0.254
Ho 0.248 0.248 0.746
Ho 0.418 0.084 0.254
Ho 0.582 0.916 0.746
Ho 0.752 0.752 0.254
Ho 0.916 0.582 0.746
Th 0.165 0.835 0.500
Th 0.835 0.165 0.500

## Properties
ρ   7.77 g/cm3
M_tot   0.00 μB/f.u.
E_form   21.0 kJ per mole of atoms
E_tot   -59.30 eV for the cell shown

---

(8)
DFT (PBE) results for an optimized crystal structure of Y2HoTh6.

Cell lengths 6.802, 6.802, 9.241 Å; angles 120.08, 120.08, 62.10 degrees
Fractional positions:
Y 0.206 0.206 0.118
Y 0.794 0.794 0.882
Ho 0.500 0.500 0.000
Th 0.173 0.173 0.703
Th 0.187 0.661 0.648
Th 0.339 0.813 0.352
Th 0.661 0.187 0.648
Th 0.813 0.339 0.352
Th 0.827 0.827 0.297

## Properties
ρ   9.40 g/cm3
M_tot   0.00 μB/f.u.
E_form   27.1 kJ per mole of atoms
E_tot   -59.49 eV for the cell shown